No. 1
Below is a geometry-optimized Ba2TlAuS structure, with properties calculated at the PBE level.

The value obtained for the raw formation energy is -282 meV/atom. As for the crystal system: tetragonal. As for the density of states at the Fermi level: 0.5632 states/eV/atom.

The space group is P4/mmm (No. 123) and the conventional cell measures 6.451, 6.451 and 5.114 Å, with angles of 90.00, 90.00 and 90.00 degrees. The distinct sites, in fractional coordinates, are Ba at (0.000, 0.500, 0.000), Tl at (0.000, 0.000, 0.000), Au at (0.000, 0.000, 0.500) and S at (0.500, 0.500, 0.500).

---

No. 2
Below is a geometry-optimized Cr2SiOs structure, with properties calculated at the PBE level.

The value obtained for the raw formation energy is -71 meV/atom. As for the crystal system: tetragonal. As for the density of states at the Fermi level: 1.0360 states/eV/atom.

The space group is P4/mmm (No. 123) and the conventional cell measures 2.714, 2.714 and 6.742 Å, with angles of 90.00, 90.00 and 90.00 degrees. The distinct sites, in fractional coordinates, are Cr at (0.000, 0.000, 0.237), Si at (0.500, 0.500, 0.000) and Os at (0.500, 0.500, 0.500).

---

No. 3
Below is a geometry-optimized ZnCu2Si structure, with properties calculated at the PBE level.

The value obtained for the raw formation energy is 49 meV/atom. As for the crystal system: orthorhombic. As for the density of states at the Fermi level: 0.3428 states/eV/atom.

The space group is Cmmm (No. 65) and the conventional cell measures 5.304, 7.400 and 2.648 Å, with angles of 90.00, 90.00 and 90.00 degrees. The distinct sites, in fractional coordinates, are Zn at (0.000, 0.000, 0.000), Cu at (0.250, 0.250, 0.500) and Si at (0.000, 0.500, 0.000).

---

No. 4
Below is a geometry-optimized MgBeRh2 structure, with properties calculated at the PBE level.

As for the crystal system: tetragonal. The formation energy is -488 meV per atom. As for the density of states at the Fermi level: 1.1664 states/eV/atom. As for the distance to the lowest polymorph of the same formula: 0 meV per atom.

The space group is P4/mmm (No. 123) and the conventional cell measures 2.906, 2.906 and 6.156 Å, with angles of 90.00, 90.00 and 90.00 degrees. The distinct sites, in fractional coordinates, are Mg at (0.000, 0.000, 0.000), Be at (0.000, 0.000, 0.500) and Rh at (0.500, 0.500, 0.283).

---

| no. | M_tot (μB/atom) | energy (eV per atom) |
| --- | --- | --- |
| 1 | 0.00 | -3.01 |
| 2 | 0.07 | -9.05 |
| 3 | 0.00 | -3.67 |
| 4 | 0.00 | -5.49 |